DFT (PBE) results for an optimized crystal structure of Hf3Ni3As4Pd.

Output
Its crystal system is monoclinic. The mass density is 10.20 g/cm3. The relative energy among the computed polymorphs is 8 meV/atom. The uncorrected energy is -78.6 eV/cell.

a = 6.4500 Å, b = 3.8230 Å, c = 7.3817 Å
α = 90.00°, β = 90.77°, γ = 90.00°
With the nearest neighbours (Å) after each atom.
Sites, in units of the cell vectors:
1 Hf 0.5241 0.0000 0.6935  5 As 2.73-2.82, 3 Ni 2.82-3.02, 1 Pd 2.83
2 Hf 0.4622 0.5000 0.3207  5 As 2.77-2.86, 4 Ni 2.87-3.09, 2 Pd 2.92
3 Ni 0.8609 0.5000 0.5570  4 As 2.34-2.43
4 Pd 0.6375 0.0000 0.0651  4 As 2.54-2.59, 2 Ni 2.72, 1 Hf 2.83
5 As 0.2293 0.5000 0.6332  4 Ni 2.43
6 As 0.2408 0.0000 0.1057  3 Ni 2.43-2.55, 1 Pd 2.58, 2 Hf 2.65
7 Ni 0.1525 0.0000 0.4407  4 As 2.43-2.55
8 As 0.7812 0.5000 0.8653  1 Ni 2.34, 2 Pd 2.59
9 Ni 0.3722 0.5000 0.9395  4 As 2.43-2.70, 2 Pd 2.72
10 Hf 0.9712 0.5000 0.1845  5 As 2.64-2.79, 3 Ni 2.85-2.92
11 As 0.7660 0.0000 0.3920  3 Ni 2.34-2.51, 1 Pd 2.54